(1)
The following is a GGA-PBEsol calculation of CuAsIr2 after structural relaxation, from the Alexandria database.

```
CuAsIr2
1.0
2.879 0.000 0.000
0.000 4.250 0.000
-1.440 -2.125 4.550
As Cu Ir
1 1 2
direct
0.492 0.492 0.984
0.233 0.733 0.466
0.002 0.002 0.004
0.773 0.273 0.545
```

## Properties
M_tot: 0.000 μB/atom
Symmetry: No. 44
N(E_F): 4.19 states/eV/f.u.
Energy: -28.1 eV/f.u.


(2)
The following is a GGA-PBEsol calculation of YCuAsIr2 after structural relaxation, from the Alexandria database.

```
YCuAsIr2
1.0
-3.646 2.199 0.703
-0.008 -1.419 4.396
2.471 3.713 1.203
Y As Ir Cu
1 1 2 1
direct
0.500 0.500 0.500
0.500 0.000 0.000
0.000 0.000 0.500
0.000 0.500 0.000
0.000 0.000 0.000
```

## Properties
M_tot: 0.000 μB/atom
Symmetry: No. 123
N(E_F): 4.10 states/eV/f.u.
Energy: -33.9 eV/f.u.


(3)
The following is a GGA-PBEsol calculation of KCuAs2 after structural relaxation, from the Alexandria database.

```
KCuAs2
1.0
4.841 0.000 0.000
2.420 4.192 0.000
2.420 1.397 3.952
As Cu K
2 1 1
direct
0.000 0.000 0.000
0.750 0.750 0.750
0.500 0.500 0.500
0.250 0.250 0.250
```

## Properties
M_tot: 0.000 μB/atom
Symmetry: No. 216
N(E_F): 1.72 states/eV/f.u.
Energy: -14.0 eV/f.u.


Question: Among the records above, which one has the lowest N(E_F)?
Answer: KCuAs2